No. 1
Entry from Alexandria: a relaxed structure of ZnIn2Hg (PBE).

Computed properties:
As for the total magnetic moment: 0.000 μB/cell. As for the crystal system: monoclinic. As for the energy relative to the elements: 68.1 meV per atom. As for the energy above the most stable polymorph in this dataset: 15 meV/atom. Its symmetry is C2/m.

Cell lengths 4.789, 4.789, 6.244 Å; angles 77.70, 77.70, 44.05 degrees
Atoms (fractional coordinates):
Zn 0.750 0.750 0.750
Hg 0.250 0.250 0.250
In 0.007 0.007 0.978
In 0.493 0.493 0.522

No. 2
Entry from Alexandria: a relaxed structure of Zn2InHg (PBE).

Computed properties:
As for the total magnetic moment: 0.000 μB/cell. As for the crystal system: monoclinic. As for the energy relative to the elements: 89.4 meV per atom. As for the energy above the most stable polymorph in this dataset: 2 meV/atom. Its symmetry is Pm.

Cell lengths 4.232, 3.892, 5.543 Å; angles 67.85, 90.00, 90.00 degrees
Atoms (fractional coordinates):
Zn 0.000 0.198 0.973
Zn 0.500 0.050 0.279
Hg 0.000 0.473 0.425
In 0.500 0.779 0.824

The calculation returns the following theoretical density values, one per record and in order: 8.49, 8.76 g cm⁻³.